TlCo4Ru after structural relaxation. Source: Alexandria, functional PBE.

Computed properties:
E ... -38.0 eV for the cell shown
Space-group type ... F-43m
Calculated formation energy ... 0.344 eV/atom
Total magnetic moment ... 7.96 μB per formula unit

abc: 4.8352 4.8352 4.8352
angles: 60.00 60.00 60.00
Each line ends with the local moment (μB).
Element x y z (fractional)
Tl 0.0000 0.0000 0.0000  -0.04
Co 0.8741 0.3753 0.3753  1.69
Co 0.3753 0.3753 0.8741  1.69
Co 0.3753 0.8741 0.3753  1.69
Co 0.3753 0.3753 0.3753  1.69
Ru 0.7500 0.7500 0.7500  1.30

Cs2Rb3Sn4 after structural relaxation. Source: Alexandria, functional PBE.

Computed properties:
E ... -22.3 eV for the cell shown
Space-group type ... P-1
Calculated formation energy ... -0.182 eV/atom
Total magnetic moment ... 0.00 μB per formula unit

abc: 7.2970 7.8629 11.4188
angles: 56.35 52.44 58.11
Element x y z (fractional)
Cs 0.7561 0.1158 0.4116
Cs 0.2439 0.8842 0.5884
Rb 0.4908 0.2876 0.7940
Rb 0.0000 0.0000 0.0000
Rb 0.5092 0.7124 0.2060
Sn 0.3631 0.3509 0.1427
Sn 0.0549 0.4558 0.6186
Sn 0.9451 0.5442 0.3814
Sn 0.6369 0.6491 0.8573

Tb12Co6Sn after structural relaxation. Source: Alexandria, functional PBE.

Computed properties:
E ... -107.4 eV for the cell shown
Space-group type ... Im-3
Calculated formation energy ... -0.276 eV/atom
Total magnetic moment ... 0.00 μB per formula unit

abc: 8.4042 8.4042 8.4042
angles: 109.47 109.47 109.47
Element x y z (fractional)
Tb 0.3038 0.1095 0.8057
Tb 0.3038 0.4980 0.1943
Tb 0.6962 0.5020 0.8057
Tb 0.6962 0.8905 0.1943
Tb 0.1095 0.8057 0.3038
Tb 0.4980 0.1943 0.3038
Tb 0.5020 0.8057 0.6962
Tb 0.8905 0.1943 0.6962
Tb 0.8057 0.3038 0.1095
Tb 0.1943 0.3038 0.4980
Tb 0.8057 0.6962 0.5020
Tb 0.1943 0.6962 0.8905
Co 0.3873 0.5000 0.8873
Co 0.6127 0.5000 0.1127
Co 0.5000 0.8873 0.3873
Co 0.5000 0.1127 0.6127
Co 0.8873 0.3873 0.5000
Co 0.1127 0.6127 0.5000
Sn 0.0000 0.0000 0.0000

BaHg3F8 after structural relaxation. Source: Alexandria, functional PBE.

Computed properties:
Formation energy from raw total energies ... -194 kJ per mole of atoms
E ... -42.0 eV for the cell shown
Space-group type ... Cm
Total magnetic moment ... 0.00 μB per formula unit

abc: 4.4678 7.1243 7.7037
angles: 90.98 106.86 90.00
Element x y z (fractional)
Ba 0.2646 0.8301 0.5292
Hg 0.4244 0.2879 0.8489
Hg 0.7162 0.3028 0.4323
Hg 0.5497 0.7474 0.0994
F 0.4035 0.5978 0.8070
F 0.4362 0.9768 0.8725
F 0.8751 0.2487 0.7501
F 0.2519 0.2150 0.5039
F 0.7409 0.6214 0.4819
F 0.0866 0.7489 0.1732
F 0.5714 0.4133 0.1429
F 0.6776 0.9797 0.3553

ErTiCoIr after structural relaxation. Source: Alexandria, functional PBE.

Computed properties:
E ... -30.3 eV for the cell shown
Space-group type ... F-43m
Calculated formation energy ... -0.480 eV/atom
Total magnetic moment ... 0.98 μB per formula unit

abc: 4.5502 4.5502 4.5502
angles: 60.00 60.00 60.00
Each line ends with the local moment (μB).
Element x y z (fractional)
Ti 0.7500 0.7500 0.7500  -0.09
Ir 0.5000 0.5000 0.5000  0.13
Co 0.0000 0.0000 0.0000  1.11
Er 0.2500 0.2500 0.2500  -0.10

Ge2MoPb after structural relaxation. Source: Alexandria, functional PBE.

Computed properties:
E ... -42.8 eV for the cell shown
Space-group type ... I-42d
Calculated formation energy ... 0.594 eV/atom
Total magnetic moment ... 1.36 μB per formula unit

abc: 4.6182 4.6182 9.3213
angles: 75.66 75.66 90.00
Each line ends with the local moment (μB).
Element x y z (fractional)
Pb 0.0000 0.0000 0.0000  -0.01
Pb 0.7500 0.2500 0.5000  -0.01
Mo 0.5000 0.5000 0.0000  1.20
Mo 0.2500 0.7500 0.5000  1.21
Ge 0.5193 0.1250 0.2500  -0.03
Ge 0.2307 0.6250 0.2500  -0.03
Ge 0.3750 0.4807 0.7500  -0.02
Ge 0.8750 0.7693 0.7500  -0.02

LaThSc2 after structural relaxation. Source: Alexandria, functional PBE.

Computed properties:
ΔE to the lowest computed polymorph ... 24.3 meV/atom
E ... -24.8 eV for the cell shown
Space-group type ... P4/mmm
Calculated formation energy ... 0.051 eV/atom
Total magnetic moment ... 0.00 μB per formula unit

abc: 4.3950 5.1578 5.1578
angles: 90.00 90.00 90.00
Element x y z (fractional)
Sc 0.0000 0.0000 0.5000
Sc 0.0000 0.5000 0.0000
Th 0.5000 0.0000 0.0000
La 0.5000 0.5000 0.5000

KTl2W after structural relaxation. Source: Alexandria, functional PBE.

Computed properties:
ΔE to the lowest computed polymorph ... 209.1 meV/atom
E ... -15.3 eV for the cell shown
Space-group type ... Pmm2
Calculated formation energy ... 0.881 eV/atom
Total magnetic moment ... 1.13 μB per formula unit

abc: 3.0643 4.7908 8.5394
angles: 90.00 90.00 90.00
Each line ends with the local moment (μB).
Element x y z (fractional)
K 0.5000 0.5000 0.7395  0.01
Tl 0.0000 0.0000 0.0433  0.03
Tl 0.5000 0.5000 0.3469  0.00
W 0.0000 0.0000 0.3702  0.72

Tc2AsSe after structural relaxation. Source: Alexandria, functional PBE.

Computed properties:
ΔE to the lowest computed polymorph ... 219.3 meV/atom
Formation energy from raw total energies ... 12 kJ per mole of atoms
E ... -28.4 eV for the cell shown
Space-group type ... R-3m
Total magnetic moment ... 0.00 μB per formula unit

abc: 7.8859 7.8859 7.8859
angles: 22.29 22.29 22.29
Element x y z (fractional)
As 0.2500 0.2500 0.2500
Tc 0.9989 0.9989 0.9989
Tc 0.5011 0.5011 0.5011
Se 0.7500 0.7500 0.7500

BeMoH after structural relaxation. Source: Alexandria, functional PBE.

Computed properties:
ΔE to the lowest computed polymorph ... 0.0 meV/atom
E ... -36.4 eV for the cell shown
Space-group type ... Cmcm
Total magnetic moment ... 0.00 μB per formula unit

abc: 3.2889 3.3482 4.9338
angles: 90.01 109.47 90.00
Element x y z (fractional)
Be 0.0623 0.2500 0.1249
Be 0.9377 0.7500 0.8751
Mo 0.6409 0.7501 0.2813
Mo 0.3591 0.2499 0.7187
H 0.7431 0.2503 0.4860
H 0.2569 0.7497 0.5140

Dy9ThIn2 after structural relaxation. Source: Alexandria, functional PBE.

Computed properties:
E ... -56.1 eV for the cell shown
Space-group type ... P4/mmm
Calculated formation energy ... -0.152 eV/atom
Total magnetic moment ... 0.00 μB per formula unit

abc: 4.8834 4.8834 14.8413
angles: 90.00 90.00 90.00
Element x y z (fractional)
Dy 0.5000 0.5000 0.0000
Dy 0.5000 0.5000 0.3380
Dy 0.5000 0.5000 0.6620
Dy 0.5000 0.0000 0.1710
Dy 0.5000 0.0000 0.5000
Dy 0.5000 0.0000 0.8290
Dy 0.0000 0.5000 0.1710
Dy 0.0000 0.5000 0.5000
Dy 0.0000 0.5000 0.8290
Th 0.0000 0.0000 0.0000
In 0.0000 0.0000 0.3381
In 0.0000 0.0000 0.6619

Tb3Pr2Y6Ho after structural relaxation. Source: Alexandria, functional PBE.

Computed properties:
E ... -66.6 eV for the cell shown
Space-group type ... C2/m
Calculated formation energy ... 0.017 eV/atom
Total magnetic moment ... 0.00 μB per formula unit

abc: 6.2175 6.2175 11.8663
angles: 94.99 94.99 119.96
Element x y z (fractional)
Tb 0.1665 0.8335 0.5000
Tb 0.8335 0.1665 0.5000
Tb 0.5000 0.5000 0.5000
Pr 0.3335 0.6665 0.0000
Pr 0.6665 0.3335 0.0000
Y 0.9159 0.5834 0.7478
Y 0.7519 0.7519 0.2526
Y 0.0841 0.4166 0.2522
Y 0.5834 0.9159 0.7478
Y 0.2481 0.2481 0.7474
Y 0.4166 0.0841 0.2522
Ho 0.0000 0.0000 0.0000

Zn6Sn4F19 after structural relaxation. Source: Alexandria, functional PBE.

Computed properties:
Formation energy from raw total energies ... -208 kJ per mole of atoms
E ... -121.8 eV for the cell shown
Space-group type ... I23
Total magnetic moment ... 0.08 μB per formula unit

abc: 8.2520 8.2520 8.2520
angles: 109.47 109.47 109.47
Element x y z (fractional)
Zn 0.3361 0.5000 0.8361
Zn 0.6639 0.5000 0.1639
Zn 0.1639 0.6639 0.5000
Zn 0.8361 0.3361 0.5000
Zn 0.5000 0.8361 0.3361
Zn 0.5000 0.1639 0.6639
Sn 0.0000 0.0000 0.6892
Sn 0.0000 0.6892 0.0000
Sn 0.3108 0.3108 0.3108
Sn 0.6892 0.0000 0.0000
F 0.6461 0.0000 0.6461
F 0.3539 0.0000 0.3539
F 0.3539 0.3539 0.0000
F 0.6461 0.6461 0.0000
F 0.0000 0.6461 0.6461
F 0.0000 0.3539 0.3539
F 0.0000 0.0000 0.0000
F 0.3267 0.2905 0.6070
F 0.6733 0.2803 0.9638
F 0.6835 0.7197 0.3930
F 0.9638 0.6733 0.2803
F 0.3165 0.7095 0.0362
F 0.6070 0.3267 0.2905
F 0.0362 0.3165 0.7095
F 0.3930 0.6835 0.7197
F 0.7095 0.0362 0.3165
F 0.2803 0.9638 0.6733
F 0.2905 0.6070 0.3267
F 0.7197 0.3930 0.6835

PmErO after structural relaxation. Source: Alexandria, functional PBE.

Computed properties:
ΔE to the lowest computed polymorph ... 74.6 meV/atom
Formation energy from raw total energies ... -163 kJ per mole of atoms
E ... -19.3 eV for the cell shown
Space-group type ... I4mm
Total magnetic moment ... 0.00 μB per formula unit

abc: 3.2482 3.2482 6.9388
angles: 103.54 103.54 90.00
Element x y z (fractional)
Er 0.0329 0.0329 0.0658
O 0.5024 0.5024 0.0047
Pm 0.3147 0.3147 0.6294

Ac2TmSi after structural relaxation. Source: Alexandria, functional PBE.

Computed properties:
Formation energy from raw total energies ... -6 kJ per mole of atoms
E ... -18.4 eV for the cell shown
Space-group type ... P4/mmm
Total magnetic moment ... 0.00 μB per formula unit

abc: 4.7615 5.1132 5.1132
angles: 90.00 90.00 90.00
Element x y z (fractional)
Ac 0.0000 0.0000 0.5000
Ac 0.0000 0.5000 0.0000
Tm 0.5000 0.5000 0.5000
Si 0.5000 0.0000 0.0000

Tb3Tm2Sc4 after structural relaxation. Source: Alexandria, functional PBE.

Computed properties:
ΔE to the lowest computed polymorph ... 0.0 meV/atom
E ... -47.7 eV for the cell shown
Space-group type ... C2/m
Calculated formation energy ... 0.051 eV/atom
Total magnetic moment ... 0.00 μB per formula unit

abc: 4.8378 7.5787 14.0006
angles: 144.09 90.00 108.61
Element x y z (fractional)
Tb 0.5504 0.1009 0.6664
Tb 0.0000 0.0000 0.0000
Tb 0.4496 0.8991 0.3336
Tm 0.7719 0.5438 0.3309
Tm 0.2281 0.4562 0.6691
Sc 0.6728 0.3456 0.0030
Sc 0.3272 0.6544 0.9970
Sc 0.8939 0.7878 0.6720
Sc 0.1061 0.2122 0.3280

PaHg3Se2F6 after structural relaxation. Source: Alexandria, functional PBE.

Computed properties:
Formation energy from raw total energies ... -206 kJ per mole of atoms
E ... -54.2 eV for the cell shown
Space-group type ... C2/m
Total magnetic moment ... 0.00 μB per formula unit

abc: 4.1253 8.0117 9.2063
angles: 115.79 109.37 90.00
Element x y z (fractional)
Pa 0.5000 0.0000 0.0000
Hg 0.0000 0.5000 0.0000
Hg 0.5000 0.5000 0.5000
Hg 0.5000 0.0000 0.5000
Se 0.1159 0.6833 0.3666
Se 0.8841 0.3167 0.6334
F 0.6230 0.2907 0.1735
F 0.3770 0.7093 0.8265
F 0.8894 0.9227 0.8453
F 0.1106 0.0773 0.1547
F 0.3770 0.1172 0.8265
F 0.6230 0.8828 0.1735

Nd5HoTm4 after structural relaxation. Source: Alexandria, functional PBE.

Computed properties:
ΔE to the lowest computed polymorph ... 0.0 meV/atom
E ... -46.1 eV for the cell shown
Space-group type ... P-1
Calculated formation energy ... 0.021 eV/atom
Total magnetic moment ... 0.00 μB per formula unit

abc: 3.5890 10.1686 9.4561
angles: 105.94 79.28 89.99
Element x y z (fractional)
Nd 0.3001 0.6010 0.4005
Nd 0.8993 0.8057 0.2001
Nd 0.1007 0.1943 0.7999
Nd 0.5000 0.5000 0.0000
Nd 0.6999 0.3990 0.5995
Ho 0.5000 0.0000 0.0000
Tm 0.2999 0.0996 0.3986
Tm 0.8991 0.2954 0.2018
Tm 0.7001 0.9004 0.6014
Tm 0.1009 0.7046 0.7982

Ba2TbInTe5 after structural relaxation. Source: Alexandria, functional PBE.

Computed properties:
Formation energy from raw total energies ... -126 kJ per mole of atoms
E ... -77.3 eV for the cell shown
Space-group type ... Cmc2_1
Total magnetic moment ... 0.00 μB per formula unit

abc: 4.5901 10.5520 14.3136
angles: 90.00 90.00 102.56
Element x y z (fractional)
Ba 0.8701 0.7402 0.8184
Ba 0.1198 0.2396 0.6849
Ba 0.1299 0.2598 0.3184
Ba 0.8802 0.7604 0.1849
Tb 0.7907 0.5814 0.5211
Tb 0.2093 0.4186 0.0211
In 0.5574 0.1148 0.9389
In 0.4426 0.8852 0.4389
Te 0.3551 0.7102 0.0041
Te 0.6901 0.3803 0.8682
Te 0.4966 0.9933 0.7664
Te 0.2918 0.5836 0.6646
Te 0.9492 0.8984 0.5575
Te 0.6449 0.2898 0.5041
Te 0.3099 0.6197 0.3682
Te 0.5034 0.0067 0.2664
Te 0.7082 0.4164 0.1646
Te 0.0508 0.1016 0.0575

SnOs3Rh after structural relaxation. Source: Alexandria, functional PBE.

Computed properties:
ΔE to the lowest computed polymorph ... 0.0 meV/atom
E ... -34.1 eV for the cell shown
Space-group type ... Pm-3m
Calculated formation energy ... 2.180 eV/atom
Total magnetic moment ... 0.00 μB per formula unit

abc: 4.7024 4.7024 4.7024
angles: 90.00 90.00 90.00
Element x y z (fractional)
Rh 0.0000 0.0000 0.0000
Os 0.0000 0.5000 0.0000
Os 0.0000 0.0000 0.5000
Os 0.5000 0.0000 0.0000
Sn 0.5000 0.5000 0.5000